Material: LaCrBiO6
Method: DFT, PBE+U
State: relaxed

Results
Raw total energy, eV per formula unit: -62.2
Space-group type: Pc

Unit cell a=7.5566 b=5.4483 c=8.3009 alpha=61.07 beta=90.00 gamma=90.00
Fractional positions:
La (0.5555, 0.3226, 0.6956)
O (0.9827, 0.0328, 0.4481)
Bi (0.9180, 0.4658, 0.9099)
O (0.3392, 0.3088, 0.4946)
O (0.3005, 0.3241, 0.8952)
O (0.6995, 0.3241, 0.3952)
O (0.1556, 0.5354, 0.1428)
O (0.6608, 0.3088, 0.9946)
Bi (0.0820, 0.4658, 0.4099)
O (0.8444, 0.5354, 0.6428)
O (0.2710, 0.9145, 0.2288)
Cr (0.7643, 0.9804, 0.5095)
O (0.7290, 0.9145, 0.7288)
La (0.4445, 0.3226, 0.1956)
O (0.3964, 0.8552, 0.9257)
O (0.6036, 0.8552, 0.4257)
O (0.0173, 0.0328, 0.9481)
Cr (0.2357, 0.9804, 0.0095)

---

Material: LaZnCrBiO6
Method: DFT, PBE+U
State: relaxed

Results
Raw total energy, eV per formula unit: -66.2
Space-group type: Pc

Unit cell a=7.2778 b=5.6949 c=8.7482 alpha=56.10 beta=90.00 gamma=90.00
Each line ends with the local moment (μB).
Fractional positions:
Zn (0.8024, 0.7055, 0.3084)  0.01
O (0.8727, 0.0463, 0.3036)  -0.07
O (0.0933, 0.3234, 0.9615)  -0.02
Cr (0.7287, 0.0417, 0.4774)  2.16
Zn (0.1976, 0.7055, 0.8084)  0.01
Cr (0.2713, 0.0417, 0.9774)  2.16
La (0.8360, 0.2368, 0.7708)  0.01
O (0.6392, 0.6696, 0.5132)  -0.02
O (0.2773, 0.8744, 0.2278)  -0.05
Bi (0.6316, 0.5152, 0.0310)  0.01
O (0.7723, 0.8153, 0.0591)  0.00
O (0.5397, 0.2718, 0.3471)  -0.06
La (0.1640, 0.2368, 0.2708)  0.01
O (0.3608, 0.6696, 0.0132)  -0.02
O (0.1273, 0.0463, 0.8036)  -0.07
O (0.7227, 0.8744, 0.7278)  -0.05
O (0.9067, 0.3234, 0.4615)  -0.02
O (0.4603, 0.2718, 0.8471)  -0.06
O (0.2277, 0.8153, 0.5591)  0.00
Bi (0.3684, 0.5152, 0.5310)  0.01